! UPbI2F6, optimized geometry, DFT PBE-GGA; values from VASP
&SYSTEM
  ibrav = 0, nat = 10, ntyp = 4
/
ATOMIC_SPECIES
U 238.03 U.upf
Pb 207.20 Pb.upf
I 126.90 I.upf
F 19.00 F.upf
ATOMIC_POSITIONS crystal
U 0.000 0.000 0.000
Pb 0.500 0.500 0.000
I 0.250 0.750 0.500
I 0.750 0.250 0.500
F 0.218 0.218 0.000
F 0.219 0.219 0.437
F 0.219 0.781 0.000
F 0.781 0.219 0.000
F 0.781 0.781 0.563
F 0.782 0.782 0.000
CELL_PARAMETERS angstrom
-3.397 3.402 4.819
3.397 -3.402 4.819
3.397 3.402 -4.819
! Formation energy without anion corrections in eV/atom: -2.349
! Space-group type: No. 71



! K4La3MnTe8, optimized geometry, DFT PBE-GGA; values from VASP
&SYSTEM
  ibrav = 0, nat = 16, ntyp = 4
/
ATOMIC_SPECIES
K 39.10 K.upf
La 138.91 La.upf
Mn 54.94 Mn.upf
Te 127.60 Te.upf
ATOMIC_POSITIONS crystal
K 0.000 0.000 0.000
K 0.000 0.500 0.500
K 0.500 0.000 0.500
K 0.500 0.500 0.000
La 0.000 0.000 0.500
La 0.000 0.500 0.000
La 0.500 0.000 0.000
Mn 0.500 0.500 0.500
Te 0.240 0.240 0.240
Te 0.262 0.721 0.721
Te 0.279 0.279 0.738
Te 0.279 0.738 0.279
Te 0.721 0.262 0.721
Te 0.721 0.721 0.262
Te 0.738 0.279 0.279
Te 0.760 0.760 0.760
CELL_PARAMETERS angstrom
4.604 2.658 8.227
-4.604 2.658 8.227
0.000 -5.316 8.227
! Formation energy without anion corrections in eV/atom: -1.194
! Space-group type: No. 166



! Ni2GeMoH, optimized geometry, DFT PBE-GGA; values from VASP
&SYSTEM
  ibrav = 0, nat = 5, ntyp = 4
/
ATOMIC_SPECIES
Ni 58.69 Ni.upf
Ge 72.64 Ge.upf
Mo 95.94 Mo.upf
H 1.01 H.upf
ATOMIC_POSITIONS crystal
Ni 0.000 0.500 0.000
Ni 0.500 0.000 0.000
Ge 0.000 0.000 0.500
Mo 0.500 0.500 0.500
H 0.500 0.500 0.000
CELL_PARAMETERS angstrom
3.673 0.000 0.000
0.000 3.673 0.000
0.000 0.000 4.025
! Electronic total energy in eV per atom: -6.1565
! Space-group type: No. 123



! Nb2Tc2Sb, optimized geometry, DFT PBE-GGA; values from VASP
&SYSTEM
  ibrav = 0, nat = 10, ntyp = 3
/
ATOMIC_SPECIES
Nb 92.91 Nb.upf
Tc 98.00 Tc.upf
Sb 121.76 Sb.upf
ATOMIC_POSITIONS crystal
Nb 0.155 0.345 0.000
Nb 0.345 0.845 0.000
Nb 0.655 0.155 0.000
Nb 0.845 0.655 0.000
Tc 0.136 0.636 0.500
Tc 0.364 0.136 0.500
Tc 0.636 0.864 0.500
Tc 0.864 0.364 0.500
Sb 0.000 0.000 0.500
Sb 0.500 0.500 0.500
CELL_PARAMETERS angstrom
7.561 0.000 0.000
0.000 7.561 0.000
0.000 0.000 3.159
! Formation energy without anion corrections in eV/atom: 0.131
! Space-group type: No. 127



! TbZrIn2, optimized geometry, DFT PBE-GGA; values from VASP
&SYSTEM
  ibrav = 0, nat = 4, ntyp = 3
/
ATOMIC_SPECIES
Tb 158.93 Tb.upf
Zr 91.22 Zr.upf
In 114.82 In.upf
ATOMIC_POSITIONS crystal
Tb 0.000 0.000 0.000
Zr 0.500 0.500 0.500
In 0.247 0.247 0.247
In 0.753 0.753 0.753
CELL_PARAMETERS angstrom
1.695 0.979 10.243
-1.695 0.979 10.243
0.000 -1.957 10.243
! Calculated formation energy in eV/atom: -0.18
! Space-group type: No. 166



! Sm2HoSc7, optimized geometry, DFT PBE-GGA; values from VASP
&SYSTEM
  ibrav = 0, nat = 10, ntyp = 3
/
ATOMIC_SPECIES
Sm 150.36 Sm.upf
Ho 164.93 Ho.upf
Sc 44.96 Sc.upf
ATOMIC_POSITIONS crystal
Sm 0.210 0.790 0.000
Sm 0.790 0.210 0.000
Ho 0.500 0.500 0.500
Sc 0.000 0.000 0.000
Sc 0.157 0.352 0.000
Sc 0.319 0.681 0.500
Sc 0.352 0.157 0.000
Sc 0.648 0.843 0.000
Sc 0.681 0.319 0.500
Sc 0.843 0.648 0.000
CELL_PARAMETERS angstrom
3.042 -13.643 0.000
3.042 13.643 0.000
0.000 0.000 3.319
! Calculated formation energy in eV/atom: 0.16
! Space-group type: No. 65



! K2ZnTc, optimized geometry, DFT PBE-GGA; values from VASP
&SYSTEM
  ibrav = 0, nat = 4, ntyp = 3
/
ATOMIC_SPECIES
K 39.10 K.upf
Zn 65.41 Zn.upf
Tc 98.00 Tc.upf
ATOMIC_POSITIONS crystal
K 0.000 0.000 0.000
K 0.229 0.229 0.565
Zn 0.488 0.488 0.322
Tc 0.755 0.755 0.249
CELL_PARAMETERS angstrom
4.488 -1.426 0.000
4.488 1.426 0.000
-0.372 0.000 9.855
! Calculated formation energy in eV/atom: 0.77
! Space-group type: No. 8



! GeB2Pb2, optimized geometry, DFT PBE-GGA; values from VASP
&SYSTEM
  ibrav = 0, nat = 10, ntyp = 3
/
ATOMIC_SPECIES
Ge 72.64 Ge.upf
B 10.81 B.upf
Pb 207.20 Pb.upf
ATOMIC_POSITIONS crystal
Ge 0.000 0.000 0.000
Ge 0.500 0.500 0.000
B 0.073 0.427 0.500
B 0.427 0.927 0.500
B 0.573 0.073 0.500
B 0.927 0.573 0.500
Pb 0.174 0.674 0.000
Pb 0.326 0.174 0.000
Pb 0.674 0.826 0.000
Pb 0.826 0.326 0.000
CELL_PARAMETERS angstrom
7.731 0.000 0.000
0.000 7.731 0.000
0.000 0.000 3.616
! Calculated formation energy in eV/atom: 1.13
! Relative energy among the computed polymorphs in eV per atom: 0.112
! Space-group type: No. 127